# TbErHg

TbErHg after structural relaxation (PBE, Alexandria).

a = 3.603 Å, b = 3.603 Å, c = 12.833 Å
α = 90.00°, β = 90.00°, γ = 90.00°
Space group I4mm (No. 107)
Asymmetric unit:
Tb (0.000, 0.000, 0.000) x2
Er (0.000, 0.000, 0.308) x2
Hg (0.000, 0.000, 0.658) x2

The calculation puts the formation energy at -302 meV per atom. The value obtained for the total moment is 2.1 μB per cell. The energy relative to the lowest polymorph listed for this composition comes out at 61 meV/atom.

# Th2Tc3Mo

Th2Tc3Mo after structural relaxation (PBE, Alexandria).

a = 8.829 Å, b = 5.952 Å, c = 5.236 Å
α = 90.00°, β = 119.51°, γ = 90.00°
Space group C2/m (No. 12)
Asymmetric unit:
Th (0.128, 0.000, 0.370) x4
Tc (0.000, 0.500, 0.500) x2
Tc (0.250, 0.250, 0.000) x4
Mo (0.000, 0.500, 0.000) x2

The calculation puts the formation energy at -86 meV per atom. The value obtained for the total moment is 0.0 μB per cell.

# CaFeTe2

CaFeTe2 after structural relaxation (PBE, Alexandria).

a = 3.786 Å, b = 4.010 Å, c = 14.173 Å
α = 90.00°, β = 90.00°, γ = 90.00°
Space group Imm2 (No. 44)
Asymmetric unit:
Ca (0.000, 0.000, 0.000) x2
Fe (0.000, 0.500, 0.753) x2
Te (0.000, 0.000, 0.396) x2
Te (0.000, 0.500, 0.177) x2

The value obtained for the total moment is 7.2 μB per cell. The formation energy from raw total energies comes out at -40.72 kJ/mol of atoms.

# LiSm2Ag

LiSm2Ag after structural relaxation (PBE, Alexandria).

a = 7.459 Å, b = 7.459 Å, c = 7.459 Å
α = 90.00°, β = 90.00°, γ = 90.00°
Space group Fm-3m (No. 225)
Asymmetric unit:
Li (0.000, 0.000, 0.000) x4
Sm (0.250, 0.250, 0.250) x8
Ag (0.000, 0.000, 0.500) x4

The calculation puts the formation energy at -67 meV per atom. The value obtained for the total moment is 0.1 μB per cell. The energy relative to the lowest polymorph listed for this composition comes out at 13 meV/atom.

# Yb7InNi4Ge12

Yb7InNi4Ge12 after structural relaxation (PBE, Alexandria).

a = 10.454 Å, b = 10.454 Å, c = 4.255 Å
α = 90.00°, β = 90.00°, γ = 90.00°
Space group P4/m (No. 83)
Asymmetric unit:
Yb (0.000, 0.000, 0.000) x1
Yb (0.000, 0.500, 0.500) x2
Yb (0.324, 0.327, 0.500) x4
In (0.500, 0.500, 0.000) x1
Ni (0.115, 0.723, 0.000) x4
Ge (0.061, 0.807, 0.500) x4
Ge (0.115, 0.286, 0.000) x4
Ge (0.211, 0.513, 0.000) x4

The calculation puts the formation energy at -599 meV per atom. The value obtained for the total moment is 1.1 μB per cell.

# Pr3Nd2Y4

Pr3Nd2Y4 after structural relaxation (PBE, Alexandria).

a = 11.119 Å, b = 5.170 Å, c = 11.350 Å
α = 90.00°, β = 100.51°, γ = 90.00°
Space group C2/m (No. 12)
Asymmetric unit:
Pr (0.000, 0.000, 0.000) x2
Pr (0.058, 0.500, 0.757) x4
Nd (0.165, 0.000, 0.577) x4
Y (0.142, 0.000, 0.279) x4
Y (0.220, 0.500, 0.102) x4

The calculation puts the formation energy at 199 meV per atom. The value obtained for the total moment is 0.0 μB per cell. The energy relative to the lowest polymorph listed for this composition comes out at 112 meV/atom.

# Na2ClO

Na2ClO after structural relaxation (PBE, Alexandria).

a = 6.452 Å, b = 6.452 Å, c = 6.452 Å
α = 90.00°, β = 90.00°, γ = 90.00°
Space group Fm-3m (No. 225)
Asymmetric unit:
Na (0.250, 0.250, 0.250) x8
Cl (0.000, 0.000, 0.000) x4
O (0.000, 0.000, 0.500) x4

The value obtained for the total moment is 4.0 μB per cell. The formation energy from raw total energies comes out at -97.72 kJ/mol of atoms. The energy relative to the lowest polymorph listed for this composition comes out at 139 meV/atom.

# Tb2ThGa

Tb2ThGa after structural relaxation (PBE, Alexandria).

a = 3.544 Å, b = 3.544 Å, c = 8.725 Å
α = 90.00°, β = 90.00°, γ = 90.00°
Space group P4/mmm (No. 123)
Asymmetric unit:
Tb (0.000, 0.000, 0.215) x2
Th (0.500, 0.500, 0.500) x1
Ga (0.500, 0.500, 0.000) x1

The calculation puts the formation energy at -278 meV per atom. The value obtained for the total moment is 0.0 μB per cell. The energy relative to the lowest polymorph listed for this composition comes out at 0 meV/atom.